(1)
Material: PtAu2Cl
Method: DFT, PBE-GGA
State: relaxed

## Properties
formation energy without anion corrections	0.405	eV/atom
energy above the lowest structure with this stoichiometry	5.67	kcal/mol of atoms

Cell lengths 5.068, 5.068, 2.838 Å; angles 90.00, 90.00, 90.00 degrees
Space group P4/mmm (No. 123)
Symmetry-distinct sites (fractional):
Pt 0.000 0.000 0.000 [1 per cell]
Au 0.000 0.500 0.500 [2 per cell]
Cl 0.500 0.500 0.000 [1 per cell]

---

(2)
Material: Ag2HgW
Method: DFT, PBE-GGA
State: relaxed

## Properties
calculated formation energy	1.89	eV/f.u.

Cell lengths 3.191, 4.616, 9.908 Å; angles 90.00, 90.00, 90.00 degrees
Space group Cmmm (No. 65)
Symmetry-distinct sites (fractional):
Ag 0.000 0.000 0.239 [4 per cell]
Hg 0.000 0.500 0.500 [2 per cell]
W 0.000 0.500 0.000 [2 per cell]

---

(3)
Material: La2ScGe4Pt3
Method: DFT, PBE-GGA
State: relaxed

## Properties
calculated formation energy	-9.95	eV/f.u.

Cell lengths 4.329, 4.329, 10.982 Å; angles 90.00, 90.00, 90.00 degrees
Space group P-4m2 (No. 115)
Symmetry-distinct sites (fractional):
La 0.000 0.500 0.238 [2 per cell]
Sc 0.000 0.000 0.500 [1 per cell]
Ge 0.000 0.000 0.000 [1 per cell]
Ge 0.000 0.500 0.649 [2 per cell]
Ge 0.500 0.500 0.000 [1 per cell]
Pt 0.000 0.500 0.879 [2 per cell]
Pt 0.500 0.500 0.500 [1 per cell]

---

(4)
Material: Sc3AlS
Method: DFT, PBE-GGA
State: relaxed

## Properties
formation energy without anion corrections	-0.783	eV/atom
energy above the lowest structure with this stoichiometry	2.93	kcal/mol of atoms

Cell lengths 4.779, 4.779, 4.779 Å; angles 90.00, 90.00, 90.00 degrees
Space group Pm-3m (No. 221)
Symmetry-distinct sites (fractional):
Sc 0.000 0.000 0.500 [3 per cell]
Al 0.500 0.500 0.500 [1 per cell]
S 0.000 0.000 0.000 [1 per cell]